No. 1
LaEuGaCu | PBE | optimized geometry

## Properties
The total energy comes out at -94.26 eV for the cell shown. The energy of formation from the pure elements comes out at -30 kJ per mole of atoms.

Cell: 7.4263 7.4263 7.4263 Å, 90.00 90.00 90.00°
Last column: nearest neighbours and their distance in Å.
Space group F-43m (No. 216)
One atom of each set of equivalent atoms:
La (0.0000, 0.0000, 0.0000) x4  4 Ga 3.22, 4 Cu 3.22
Eu (0.0000, 0.0000, 0.5000) x4  4 Cu 3.22, 4 Ga 3.22
Ga (0.2500, 0.2500, 0.2500) x4  4 La 3.22, 4 Eu 3.22
Cu (0.2500, 0.2500, 0.7500) x4  4 La 3.22, 4 Eu 3.22



No. 2
MgSc2SnPd4 | PBE | optimized geometry

## Properties
The total energy comes out at -137.63 eV for the cell shown. The energy of formation from the pure elements comes out at -83 kJ per mole of atoms.

Cell: 4.6145 4.6145 22.7591 Å, 90.00 90.00 120.00°
Last column: nearest neighbours and their distance in Å.
Space group R-3m (No. 166, hexagonal axes)
One atom of each set of equivalent atoms:
Mg (0.0000, 0.0000, 0.0000) x3  8 Pd 2.80-2.81
Sc (0.0000, 0.0000, 0.2504) x6  8 Pd 2.79-2.90
Sn (0.0000, 0.0000, 0.5000) x3  8 Pd 2.84-2.89
Pd (0.0000, 0.0000, 0.1229) x6  1 Mg 2.80, 4 Sc 2.82-2.90, 3 Sn 2.84
Pd (0.0000, 0.0000, 0.3730) x6  4 Sc 2.79-2.84, 3 Mg 2.81, 1 Sn 2.89



| no. | density of states at the Fermi level (states/eV/atom) |
| --- | --- |
| 1 | 2.085 |
| 2 | 0.496 |